First-principles (PBE-GGA) data for a relaxed structure of MgSc3Hg6, as listed in the Alexandria database.

Output
Calculated total energy in Ry/atom: -0.1863
Energy of formation in eV per formula unit: -3.0
Mass density in g/cm3: 10.36
Total magnetization in μB/f.u.: 0.00
Volume in A^3/atom: 21.8

Cell lengths 8.6260, 4.9182, 10.9061 Å; angles 90.00, 109.27, 90.00 degrees
Element x y z (fractional)
Mg1 0.0478 0.2500 0.4186
Mg2 0.9522 0.7500 0.5814
Sc1 0.2245 0.2500 0.0107
Sc2 0.3583 0.7500 0.7887
Sc3 0.4630 0.2500 0.6130
Sc4 0.5370 0.7500 0.3870
Sc5 0.6417 0.2500 0.2113
Sc6 0.7755 0.7500 0.9893
Hg1 0.0641 0.7500 0.8660
Hg2 0.1546 0.7500 0.1679
Hg3 0.1579 0.2500 0.7033
Hg4 0.2568 0.7500 0.4939
Hg5 0.3383 0.2500 0.3122
Hg6 0.4713 0.7500 0.0816
Hg7 0.5287 0.2500 0.9184
Hg8 0.6617 0.7500 0.6878
Hg9 0.7432 0.2500 0.5061
Hg10 0.8421 0.7500 0.2967
Hg11 0.8454 0.2500 0.8321
Hg12 0.9359 0.2500 0.1340



First-principles (PBE-GGA) data for a relaxed structure of Sr6Tl2Cd, as listed in the Alexandria database.

Output
Calculated total energy in Ry/atom: -0.1478
Energy of formation in eV per formula unit: -2.4
Mass density in g/cm3: 4.85
Total magnetization in μB/f.u.: 0.00
Energy above the most stable polymorph in this dataset in meV per atom: 0
Volume in A^3/atom: 39.8

Cell lengths 11.0963, 11.1015, 5.8221 Å; angles 90.00, 90.00, 90.00 degrees
Element x y z (fractional)
Sr1 0.0286 0.1952 0.0000
Sr2 0.1195 0.6188 0.5000
Sr3 0.1949 0.9708 0.5000
Sr4 0.3051 0.4708 0.0000
Sr5 0.3805 0.1188 0.0000
Sr6 0.4714 0.6952 0.5000
Sr7 0.5286 0.3048 0.5000
Sr8 0.6195 0.8812 0.0000
Sr9 0.6949 0.5292 0.0000
Sr10 0.8051 0.0292 0.5000
Sr11 0.8805 0.3812 0.5000
Sr12 0.9714 0.8048 0.0000
Tl1 0.2060 0.2932 0.5000
Tl2 0.2940 0.7932 0.0000
Tl3 0.7060 0.2068 0.0000
Tl4 0.7940 0.7068 0.5000
Cd1 0.0000 0.5000 0.0000
Cd2 0.5000 0.0000 0.5000



First-principles (PBE-GGA) data for a relaxed structure of LaNd4In3, as listed in the Alexandria database.

Output
Calculated total energy in Ry/atom: -0.3226
Energy of formation in eV per formula unit: -2.9
Mass density in g/cm3: 7.07
Total magnetization in μB/f.u.: 0.00
Energy above the most stable polymorph in this dataset in meV per atom: 0
Volume in A^3/atom: 31.1

Cell lengths 11.9088, 11.9088, 5.6692 Å; angles 101.34, 101.34, 18.42 degrees
Element x y z (fractional)
La1 0.0000 0.0000 0.0000
Nd1 0.1201 0.1201 0.6884
Nd2 0.2359 0.2359 0.2451
Nd3 0.7641 0.7641 0.7549
Nd4 0.8799 0.8799 0.3116
In1 0.3793 0.3793 0.7960
In2 0.5000 0.5000 0.5000
In3 0.6207 0.6207 0.2040



First-principles (PBE-GGA) data for a relaxed structure of PrZn3C4O12, as listed in the Alexandria database.

Output
Calculated total energy in Ry/atom: -0.4980
Mass density in g/cm3: 4.28
Total magnetization in μB/f.u.: 0.00
Volume in A^3/atom: 11.2
E_form (uncorrected) in kJ/mol of formula units: -2944

Cell lengths 6.2391, 6.2391, 6.2391 Å; angles 102.15, 102.15, 102.15 degrees
Element x y z (fractional)
Pr1 0.0000 0.0000 0.0000
Zn1 0.0000 0.5421 0.4579
Zn2 0.4579 0.0000 0.5421
Zn3 0.5421 0.4579 0.0000
C1 0.0470 0.5000 0.9530
C2 0.5000 0.5000 0.5000
C3 0.5000 0.9530 0.0470
C4 0.9530 0.0470 0.5000
O1 0.0403 0.6306 0.8148
O2 0.0872 0.9128 0.5000
O3 0.1852 0.3694 0.9597
O4 0.3651 0.6349 0.5000
O5 0.3694 0.9597 0.1852
O6 0.5000 0.0872 0.9128
O7 0.5000 0.3651 0.6349
O8 0.6306 0.8148 0.0403
O9 0.6349 0.5000 0.3651
O10 0.8148 0.0403 0.6306
O11 0.9128 0.5000 0.0872
O12 0.9597 0.1852 0.3694



First-principles (PBE-GGA) data for a relaxed structure of Pu5IrPt2, as listed in the Alexandria database.

Output
Calculated total energy in Ry/atom: -0.8858
Energy of formation in eV per formula unit: -3.8
Mass density in g/cm3: 16.47
Total magnetization in μB/f.u.: 6.00
Volume in A^3/atom: 22.7

Cell lengths 6.8569, 10.8143, 4.9009 Å; angles 90.00, 90.00, 90.00 degrees
Element x y z (fractional)
Pu1 0.0000 0.0000 0.0000
Pu2 0.1580 0.2698 0.0000
Pu3 0.2038 0.5563 0.5000
Pu4 0.2962 0.0563 0.5000
Pu5 0.3420 0.7698 0.0000
Pu6 0.5000 0.5000 0.0000
Pu7 0.6580 0.2302 0.0000
Pu8 0.7038 0.9437 0.5000
Pu9 0.7962 0.4437 0.5000
Pu10 0.8420 0.7302 0.0000
Ir1 0.0000 0.5000 0.0000
Ir2 0.5000 0.0000 0.0000
Pt1 0.0798 0.8187 0.5000
Pt2 0.4202 0.3187 0.5000
Pt3 0.5798 0.6813 0.5000
Pt4 0.9202 0.1813 0.5000



First-principles (PBE-GGA) data for a relaxed structure of PSO, as listed in the Alexandria database.

Output
Calculated total energy in Ry/atom: -0.4035
Mass density in g/cm3: 2.23
Total magnetization in μB/f.u.: 0.00
Energy above the most stable polymorph in this dataset in meV per atom: 231
Volume in A^3/atom: 19.6
E_form (uncorrected) in kJ/mol of formula units: -190

Cell lengths 7.3487, 7.3487, 6.3195 Å; angles 98.79, 98.79, 20.47 degrees
Element x y z (fractional)
P1 0.1800 0.1800 0.4982
P2 0.8200 0.8200 0.5018
S1 0.1227 0.1227 0.1833
S2 0.8773 0.8773 0.8167
O1 0.3675 0.3675 0.3889
O2 0.6325 0.6325 0.6111



First-principles (PBE-GGA) data for a relaxed structure of BiOs3S, as listed in the Alexandria database.

Output
Calculated total energy in Ry/atom: -0.3703
Mass density in g/cm3: 10.51
Total magnetization in μB/f.u.: 5.22
Energy above the most stable polymorph in this dataset in meV per atom: 2138
Volume in A^3/atom: 25.7
E_form (uncorrected) in kJ/mol of formula units: 1593

Cell lengths 5.0431, 5.0431, 5.0431 Å; angles 90.00, 90.00, 90.00 degrees
Element x y z (fractional)
Bi1 0.0000 0.0000 0.0000
Os1 0.0000 0.0000 0.5000
Os2 0.0000 0.5000 0.0000
Os3 0.5000 0.0000 0.0000
S1 0.5000 0.5000 0.5000



First-principles (PBE-GGA) data for a relaxed structure of NdTh2PdRh5, as listed in the Alexandria database.

Output
Calculated total energy in Ry/atom: -0.5309
Energy of formation in eV per formula unit: -3.4
Mass density in g/cm3: 10.64
Total magnetization in μB/f.u.: 0.00
Volume in A^3/atom: 21.3

Cell lengths 8.0566, 8.0566, 8.0566 Å; angles 117.28, 117.28, 94.78 degrees
Element x y z (fractional)
Nd1 0.2500 0.2500 0.0000
Nd2 0.7500 0.7500 0.0000
Th1 0.1396 0.6396 0.7791
Th2 0.3604 0.1396 0.5000
Th3 0.6396 0.8604 0.5000
Th4 0.8604 0.3604 0.2209
Pd1 0.2500 0.7500 0.5000
Pd2 0.7500 0.2500 0.5000
Rh1 0.0000 0.0000 0.0000
Rh2 0.0539 0.1789 0.5000
Rh3 0.1789 0.6789 0.1250
Rh4 0.3211 0.4461 0.5000
Rh5 0.4461 0.9461 0.1250
Rh6 0.5000 0.5000 0.0000
Rh7 0.5539 0.0539 0.8750
Rh8 0.6789 0.5539 0.5000
Rh9 0.8211 0.3211 0.8750
Rh10 0.9461 0.8211 0.5000



First-principles (PBE-GGA) data for a relaxed structure of Ca2ThZn, as listed in the Alexandria database.

Output
Calculated total energy in Ry/atom: -0.2175
Energy of formation in eV per formula unit: 0.9
Mass density in g/cm3: 4.94
Total magnetization in μB/f.u.: 0.00
Energy above the most stable polymorph in this dataset in meV per atom: 187
Volume in A^3/atom: 31.7

Cell lengths 11.9565, 11.9565, 11.9565 Å; angles 16.96, 16.96, 16.96 degrees
Element x y z (fractional)
Ca1 0.1002 0.1002 0.1002
Ca2 0.8998 0.8998 0.8998
Th1 0.0000 0.0000 0.0000
Zn1 0.5000 0.5000 0.5000



First-principles (PBE-GGA) data for a relaxed structure of SrAcSe2, as listed in the Alexandria database.

Output
Calculated total energy in Ry/atom: -0.3324
Mass density in g/cm3: 4.66
Total magnetization in μB/f.u.: 0.43
Energy above the most stable polymorph in this dataset in meV per atom: 610
Volume in A^3/atom: 42.1
E_form (uncorrected) in kJ/mol of formula units: -514

Cell lengths 9.4156, 9.4156, 9.4156 Å; angles 28.52, 28.52, 28.52 degrees
Element x y z (fractional)
Sr1 0.0000 0.0000 0.0000
Ac1 0.5000 0.5000 0.5000
Se1 0.3940 0.3940 0.3940
Se2 0.6060 0.6060 0.6060



First-principles (PBE-GGA) data for a relaxed structure of Nd4Tm5, as listed in the Alexandria database.

Output
Calculated total energy in Ry/atom: -0.3366
Energy of formation in eV per formula unit: 0.2
Mass density in g/cm3: 8.13
Total magnetization in μB/f.u.: 0.00
Volume in A^3/atom: 32.3

Cell lengths 9.4444, 9.4444, 9.4444 Å; angles 158.16, 110.73, 73.61 degrees
Element x y z (fractional)
Nd1 0.9996 0.1662 0.8334
Nd2 0.0004 0.8338 0.1666
Nd3 0.3328 0.1662 0.1666
Nd4 0.6672 0.8338 0.8334
Tm1 0.0000 0.5000 0.5000
Tm2 0.3365 0.5000 0.8365
Tm3 0.3370 0.8370 0.5000
Tm4 0.6630 0.1630 0.5000
Tm5 0.6635 0.5000 0.1635



First-principles (PBE-GGA) data for a relaxed structure of HfPaGa2, as listed in the Alexandria database.

Output
Calculated total energy in Ry/atom: -0.4922
Energy of formation in eV per formula unit: -1.3
Mass density in g/cm3: 11.42
Total magnetization in μB/f.u.: 0.73
Energy above the most stable polymorph in this dataset in meV per atom: 0
Volume in A^3/atom: 20.0

Cell lengths 3.1292, 3.1292, 8.1512 Å; angles 90.00, 90.00, 90.00 degrees
Element x y z (fractional)
Hf1 0.0000 0.0000 0.0000
Pa1 0.0000 0.0000 0.5000
Ga1 0.5000 0.5000 0.2340
Ga2 0.5000 0.5000 0.7660